1.
A geometry-optimized Mn3AlCr structure, computed with PBEsol.

The formation energy is 1573.6 meV/atom. Its uncorrected energy is -7.15 eV per atom. The total magnetic moment comes out at 14.16 μB per formula unit.

The structure belongs to space group Pm-3m (No. 221); the cell edges are 4.477, 4.477 and 4.477 Å and the angles 90.00°, 90.00° and 90.00°. The distinct sites, in fractional coordinates, are Mn at (0.000, 0.000, 0.500), Al at (0.000, 0.000, 0.000) and Cr at (0.500, 0.500, 0.500).

---

2.
A geometry-optimized GaAgTeBr2 structure, computed with PBEsol.

Its formation energy without anion corrections is 0.063 eV/atom. Its uncorrected energy is -2.72 eV per atom. The total magnetic moment comes out at 0.00 μB per formula unit.

The structure belongs to space group P4/mmm (No. 123); the cell edges are 4.918, 4.918 and 5.679 Å and the angles 90.00°, 90.00° and 90.00°. The distinct sites, in fractional coordinates, are Ga at (0.000, 0.000, 0.000), Ag at (0.500, 0.500, 0.500), Te at (0.000, 0.000, 0.500) and Br at (0.000, 0.500, 0.000).

---

3.
A geometry-optimized Mg5In4 structure, computed with PBEsol.

The formation energy is -76.7 meV/atom. The calculation puts the energy above the most stable polymorph in this dataset at 14 meV per atom. Its uncorrected energy is -2.36 eV per atom. The total magnetic moment comes out at 0.00 μB per formula unit.

The structure belongs to space group P6_3/mcm (No. 193); the cell edges are 8.8553, 8.8553 and 6.0780 Å and the angles 90.00°, 90.00° and 120.00°. The distinct sites, in fractional coordinates, are Mg at (0.0000, 0.3053, 0.2500), Mg at (0.3333, 0.6667, 0.0000), In at (0.0000, 0.0000, 0.0000) and In at (0.0000, 0.3642, 0.7500).

---

4.
A geometry-optimized TmLuCu2 structure, computed with PBEsol.

The formation energy is -286.6 meV/atom. Its uncorrected energy is -4.90 eV per atom. The total magnetic moment comes out at 0.00 μB per formula unit.

The structure belongs to space group Fm-3m (No. 225); the cell edges are 6.683, 6.683 and 6.683 Å and the angles 90.00°, 90.00° and 90.00°. The distinct sites, in fractional coordinates, are Tm at (0.000, 0.000, 0.000), Lu at (0.000, 0.000, 0.500) and Cu at (0.250, 0.250, 0.250).

---

5.
A geometry-optimized Ge3TeO structure, computed with PBEsol.

Its formation energy without anion corrections is 1.458 eV/atom. Its uncorrected energy is -3.26 eV per atom. The total magnetic moment comes out at 1.12 μB per formula unit.

The structure belongs to space group Pm-3m (No. 221); the cell edges are 5.415, 5.415 and 5.415 Å and the angles 90.00°, 90.00° and 90.00°. The distinct sites, in fractional coordinates, are Ge at (0.000, 0.000, 0.500), Te at (0.000, 0.000, 0.000) and O at (0.500, 0.500, 0.500).

---

6.
A geometry-optimized Ca2CdSi2 structure, computed with PBEsol.

Its formation energy without anion corrections is -0.029 eV/atom. Its uncorrected energy is -3.42 eV per atom. The total magnetic moment comes out at 0.00 μB per formula unit.

The structure belongs to space group I4/mmm (No. 139); the cell edges are 5.787, 5.787 and 7.707 Å and the angles 90.00°, 90.00° and 90.00°. The distinct sites, in fractional coordinates, are Ca at (0.000, 0.500, 0.250), Cd at (0.000, 0.000, 0.000) and Si at (0.000, 0.000, 0.348).

---

7.
A geometry-optimized La2Fe2I structure, computed with PBEsol.

Its formation energy without anion corrections is -0.482 eV/atom. Its uncorrected energy is -6.56 eV per atom. The total magnetic moment comes out at 2.05 μB per formula unit.

The structure belongs to space group P6_3/mmc (No. 194); the cell edges are 3.9826, 3.9826 and 17.8941 Å and the angles 90.00°, 90.00° and 120.00°. The distinct sites, in fractional coordinates, are La at (0.0000, 0.0000, 0.1068), Fe at (0.3333, 0.6667, 0.9996) and I at (0.3333, 0.6667, 0.2500).

---

8.
A geometry-optimized MgSiTe2 structure, computed with PBEsol.

Its formation energy without anion corrections is 0.028 eV/atom. The calculation puts the energy above the most stable polymorph in this dataset at 0 meV per atom. Its uncorrected energy is -3.60 eV per atom. The total magnetic moment comes out at 0.00 μB per formula unit.

The structure belongs to space group C2/m (No. 12); the cell edges are 7.614, 7.775 and 3.750 Å and the angles 90.00°, 114.30° and 90.00°. The distinct sites, in fractional coordinates, are Mg at (0.000, 0.000, 0.000), Si at (0.000, 0.500, 0.000) and Te at (0.250, 0.250, 0.500).

---

9.
A geometry-optimized HPbClO structure, computed with PBEsol.

The calculation puts the energy above the most stable polymorph in this dataset at 3 meV per atom. Its uncorrected energy is -4.77 eV per atom. The total magnetic moment comes out at 0.00 μB per formula unit.

The structure belongs to space group Pnma (No. 62); the cell edges are 7.028, 3.986 and 9.663 Å and the angles 90.00°, 90.00° and 90.00°. The distinct sites, in fractional coordinates, are H at (0.221, 0.250, 0.117), Pb at (0.206, 0.750, 0.911), Cl at (0.060, 0.250, 0.676) and O at (0.129, 0.250, 0.041).

---

10.
A geometry-optimized InCoAu2 structure, computed with PBEsol.

The formation energy is 116.3 meV/atom. Its uncorrected energy is -4.53 eV per atom. The total magnetic moment comes out at 1.24 μB per formula unit.

The structure belongs to space group P1 (No. 1); the cell edges are 3.149, 4.687 and 4.837 Å and the angles 105.28°, 108.90° and 90.03°. The distinct sites, in fractional coordinates, are In at (0.000, 0.000, 0.000), Co at (0.739, 0.249, 0.477), Au at (0.241, 0.741, 0.482) and Au at (0.478, 0.472, 0.957).

---

11.
A geometry-optimized La4CoRu structure, computed with PBEsol.

The formation energy is 1091.2 meV/atom. Its uncorrected energy is -5.46 eV per atom. The total magnetic moment comes out at 0.85 μB per formula unit.

The structure belongs to space group F-43m (No. 216); the cell edges are 8.462, 8.462 and 8.462 Å and the angles 90.00°, 90.00° and 90.00°. The distinct sites, in fractional coordinates, are La at (0.125, 0.125, 0.125), Co at (0.250, 0.250, 0.750) and Ru at (0.000, 0.000, 0.500).

---

12.
A geometry-optimized CdSeCl2 structure, computed with PBEsol.

Its formation energy without anion corrections is -0.236 eV/atom. The calculation puts the energy above the most stable polymorph in this dataset at 47 meV per atom. Its uncorrected energy is -2.50 eV per atom. The total magnetic moment comes out at 0.00 μB per formula unit.

The structure belongs to space group Fmmm (No. 69); the cell edges are 6.152, 7.357 and 7.913 Å and the angles 90.00°, 90.00° and 90.00°. The distinct sites, in fractional coordinates, are Cd at (0.000, 0.000, 0.000), Se at (0.000, 0.000, 0.500) and Cl at (0.000, 0.250, 0.250).

---

13.
A geometry-optimized Fe2W structure, computed with PBEsol.

The formation energy is 89.5 meV/atom. Its uncorrected energy is -10.49 eV per atom. The total magnetic moment comes out at 3.90 μB per formula unit.

The structure belongs to space group P-3m1 (No. 164); the cell edges are 4.1157, 4.1157 and 2.5532 Å and the angles 90.00°, 90.00° and 120.00°. The distinct sites, in fractional coordinates, are Fe at (0.3333, 0.6667, 0.1465) and W at (0.0000, 0.0000, 0.5000).

---

14.
A geometry-optimized Y3Co structure, computed with PBEsol.

The formation energy is 234.4 meV/atom. Its uncorrected energy is -6.82 eV per atom. The total magnetic moment comes out at 0.00 μB per formula unit.

The structure belongs to space group Pmm2 (No. 25); the cell edges are 3.976, 4.789 and 5.246 Å and the angles 90.00°, 90.00° and 90.00°. The distinct sites, in fractional coordinates, are Y at (0.000, 0.000, 0.000), Y at (0.000, 0.500, 0.497), Y at (0.500, 0.000, 0.469) and Co at (0.500, 0.500, 0.143).

---

15.
A geometry-optimized MnPbBr2 structure, computed with PBEsol.

Its formation energy without anion corrections is 0.320 eV/atom. The calculation puts the energy above the most stable polymorph in this dataset at 534 meV per atom. Its uncorrected energy is -4.05 eV per atom. The total magnetic moment comes out at 5.00 μB per formula unit.

The structure belongs to space group F-43m (No. 216); the cell edges are 7.374, 7.374 and 7.374 Å and the angles 90.00°, 90.00° and 90.00°. The distinct sites, in fractional coordinates, are Mn at (0.000, 0.000, 0.000), Pb at (0.250, 0.250, 0.250), Br at (0.000, 0.000, 0.500) and Br at (0.250, 0.250, 0.750).

---

16.
A geometry-optimized TlSiAu2 structure, computed with PBEsol.

Its formation energy without anion corrections is 0.044 eV/atom. The calculation puts the energy above the most stable polymorph in this dataset at 0 meV per atom. Its uncorrected energy is -4.01 eV per atom. The total magnetic moment comes out at 0.00 μB per formula unit.

The structure belongs to space group R-3m (No. 166, hexagonal axes); the cell edges are 3.7904, 3.7904 and 19.7391 Å and the angles 90.00°, 90.00° and 120.00°. The distinct sites, in fractional coordinates, are Tl at (0.0000, 0.0000, 0.0000), Si at (0.0000, 0.0000, 0.5000) and Au at (0.0000, 0.0000, 0.2309).

---

17.
A geometry-optimized Eu2Ti2O7 structure, computed with PBEsol.

Its formation energy without anion corrections is -3.061 eV/atom. Its uncorrected energy is -9.84 eV per atom. The total magnetic moment comes out at 12.00 μB per formula unit.

The structure belongs to space group Fd-3m (No. 227, origin choice 2); the cell edges are 10.180, 10.180 and 10.180 Å and the angles 90.00°, 90.00° and 90.00°. The distinct sites, in fractional coordinates, are Eu at (0.000, 0.000, 0.000), Ti at (0.000, 0.000, 0.500), O at (0.077, 0.375, 0.875) and O at (0.125, 0.125, 0.125).

---

18.
A geometry-optimized BaLiIN2 structure, computed with PBEsol.

Its formation energy without anion corrections is 0.601 eV/atom. Its uncorrected energy is -3.99 eV per atom. The total magnetic moment comes out at 4.00 μB per formula unit.

The structure belongs to space group P4/mmm (No. 123); the cell edges are 4.661, 4.661 and 4.914 Å and the angles 90.00°, 90.00° and 90.00°. The distinct sites, in fractional coordinates, are Ba at (0.000, 0.000, 0.000), Li at (0.500, 0.500, 0.500), I at (0.500, 0.500, 0.000) and N at (0.000, 0.500, 0.500).

---

19.
A geometry-optimized SrCdCl2 structure, computed with PBEsol.

Its formation energy without anion corrections is -1.468 eV/atom. The calculation puts the energy above the most stable polymorph in this dataset at 0 meV per atom. Its uncorrected energy is -3.23 eV per atom. The total magnetic moment comes out at 0.00 μB per formula unit.

The structure belongs to space group Imm2 (No. 44); the cell edges are 3.739, 4.534 and 14.410 Å and the angles 90.00°, 90.00° and 90.00°. The distinct sites, in fractional coordinates, are Sr at (0.000, 0.000, 0.000), Cd at (0.000, 0.500, 0.725), Cl at (0.000, 0.000, 0.536) and Cl at (0.000, 0.500, 0.354).

---

20.
A geometry-optimized SrMoP structure, computed with PBEsol.

The formation energy is 404.5 meV/atom. Its uncorrected energy is -6.06 eV per atom. The total magnetic moment comes out at 0.50 μB per formula unit.

The structure belongs to space group F-43m (No. 216); the cell edges are 6.343, 6.343 and 6.343 Å and the angles 90.00°, 90.00° and 90.00°. The distinct sites, in fractional coordinates, are Sr at (0.000, 0.000, 0.000), Mo at (0.000, 0.000, 0.500) and P at (0.250, 0.250, 0.750).

---

21.
A geometry-optimized Eu2HoTaO6 structure, computed with PBEsol.

Its formation energy without anion corrections is -3.100 eV/atom. Its uncorrected energy is -10.11 eV per atom. The total magnetic moment comes out at 14.00 μB per formula unit.

The structure belongs to space group Fm-3m (No. 225); the cell edges are 8.279, 8.279 and 8.279 Å and the angles 90.00°, 90.00° and 90.00°. The distinct sites, in fractional coordinates, are Eu at (0.250, 0.250, 0.250), Ho at (0.000, 0.000, 0.000), Ta at (0.000, 0.000, 0.500) and O at (0.000, 0.000, 0.262).

---

22.
A geometry-optimized Si2Te3 structure, computed with PBEsol.

Its formation energy without anion corrections is 0.009 eV/atom. Its uncorrected energy is -4.41 eV per atom. The total magnetic moment comes out at 0.00 μB per formula unit.

The structure belongs to space group P-3m1 (No. 164); the cell edges are 3.8740, 3.8740 and 9.6704 Å and the angles 90.00°, 90.00° and 120.00°. The distinct sites, in fractional coordinates, are Si at (0.3333, 0.6667, 0.3191), Te at (0.0000, 0.0000, 0.5000) and Te at (0.3333, 0.6667, 0.8378).

---

23.
A geometry-optimized BaMn3O6 structure, computed with PBEsol.

Its formation energy without anion corrections is -1.836 eV/atom. Its uncorrected energy is -8.13 eV per atom. The total magnetic moment comes out at 6.77 μB per formula unit.

The structure belongs to space group C2/m (No. 12); the cell edges are 20.471, 3.841 and 5.575 Å and the angles 90.00°, 97.78° and 90.00°. The distinct sites, in fractional coordinates, are Ba at (0.070, 0.000, 0.285), Mn at (0.065, 0.500, 0.783), Mn at (0.207, 0.500, 0.349), Mn at (0.208, 0.500, 0.853), O at (0.000, 0.500, 0.000), O at (0.000, 0.500, 0.500), O at (0.067, 0.000, 0.783), O at (0.145, 0.500, 0.068), O at (0.146, 0.500, 0.578), O at (0.223, 0.000, 0.365) and O at (0.225, 0.000, 0.864).

---

24.
A geometry-optimized TlOsS2Br structure, computed with PBEsol.

Its formation energy without anion corrections is 1.836 eV/atom. Its uncorrected energy is -3.26 eV per atom. The total magnetic moment comes out at 4.37 μB per formula unit.

The structure belongs to space group P4/mmm (No. 123); the cell edges are 4.914, 4.914 and 5.464 Å and the angles 90.00°, 90.00° and 90.00°. The distinct sites, in fractional coordinates, are Tl at (0.000, 0.000, 0.000), Os at (0.000, 0.000, 0.500), S at (0.000, 0.500, 0.000) and Br at (0.500, 0.500, 0.500).

---

25.
A geometry-optimized Y2ZrIn structure, computed with PBEsol.

The formation energy is -217.9 meV/atom. Its uncorrected energy is -6.65 eV per atom. The total magnetic moment comes out at 0.00 μB per formula unit.

The structure belongs to space group P4/mmm (No. 123); the cell edges are 3.417, 3.417 and 8.859 Å and the angles 90.00°, 90.00° and 90.00°. The distinct sites, in fractional coordinates, are Y at (0.000, 0.000, 0.244), Zr at (0.500, 0.500, 0.500) and In at (0.500, 0.500, 0.000).

---

26.
A geometry-optimized CaTa3Ti structure, computed with PBEsol.

The formation energy is 2407.8 meV/atom. Its uncorrected energy is -7.21 eV per atom. The total magnetic moment comes out at 0.00 μB per formula unit.

The structure belongs to space group Pm-3m (No. 221); the cell edges are 4.645, 4.645 and 4.645 Å and the angles 90.00°, 90.00° and 90.00°. The distinct sites, in fractional coordinates, are Ca at (0.000, 0.000, 0.000), Ta at (0.000, 0.000, 0.500) and Ti at (0.500, 0.500, 0.500).